No. 1
Density functional theory data (PBE) for a relaxed BaLiMn crystal.

Calculated values
VASP energy = -3.365 eV per atom
formation energy from the elements = 970 meV/atom
energy above the lowest structure with this stoichiometry = 478 meV per atom

Unit cell a=7.728 b=7.728 c=7.728 alpha=90.00 beta=90.00 gamma=90.00
Element x y z (fractional)
Ba: 0.000 0.000 0.000
Ba: 0.000 0.500 0.500
Ba: 0.500 0.000 0.500
Ba: 0.500 0.500 0.000
Li: 0.250 0.250 0.250
Li: 0.250 0.750 0.750
Li: 0.750 0.250 0.750
Li: 0.750 0.750 0.250
Mn: 0.250 0.250 0.750
Mn: 0.250 0.750 0.250
Mn: 0.750 0.250 0.250
Mn: 0.750 0.750 0.750

No. 2
Density functional theory data (PBE) for a relaxed BaLiMn2 crystal.

Calculated values
VASP energy = -4.738 eV per atom
formation energy from the elements = 806 meV/atom
energy above the lowest structure with this stoichiometry = 384 meV per atom

Unit cell a=6.113 b=9.050 c=3.517 alpha=90.00 beta=90.25 gamma=90.00
Element x y z (fractional)
Ba: 0.000 0.000 0.000
Ba: 0.500 0.500 0.000
Li: 0.000 0.500 0.000
Li: 0.500 0.000 0.000
Mn: 0.250 0.250 0.500
Mn: 0.250 0.750 0.500
Mn: 0.750 0.250 0.500
Mn: 0.750 0.750 0.500

No. 3
Density functional theory data (PBE) for a relaxed BaLiMn2 crystal.

Calculated values
VASP energy = -4.716 eV per atom
formation energy from the elements = 828 meV/atom
energy above the lowest structure with this stoichiometry = 405 meV per atom

Unit cell a=5.218 b=5.218 c=3.781 alpha=90.00 beta=90.00 gamma=90.00
Element x y z (fractional)
Ba: 0.000 0.000 0.000
Li: 0.500 0.500 0.000
Mn: 0.000 0.500 0.500
Mn: 0.500 0.000 0.500

No. 4
Density functional theory data (PBE) for a relaxed Ba3LiMn crystal.

Calculated values
VASP energy = -2.777 eV per atom
formation energy from the elements = 593 meV/atom

Unit cell a=5.949 b=5.949 c=5.949 alpha=90.00 beta=90.00 gamma=90.00
Element x y z (fractional)
Ba: 0.000 0.000 0.500
Ba: 0.000 0.500 0.000
Ba: 0.500 0.000 0.000
Li: 0.500 0.500 0.500
Mn: 0.000 0.000 0.000

No. 5
Density functional theory data (PBE) for a relaxed BaLiMn2 crystal.

Calculated values
VASP energy = -4.797 eV per atom
formation energy from the elements = 747 meV/atom
energy above the lowest structure with this stoichiometry = 325 meV per atom

Unit cell a=8.913 b=3.451 c=6.103 alpha=90.00 beta=108.27 gamma=90.00
Element x y z (fractional)
Ba: 0.000 0.000 0.000
Ba: 0.500 0.500 0.000
Li: 0.000 0.500 0.500
Li: 0.500 0.000 0.500
Mn: 0.220 0.000 0.573
Mn: 0.280 0.500 0.427
Mn: 0.720 0.500 0.573
Mn: 0.780 0.000 0.427

No. 6
Density functional theory data (PBE) for a relaxed BaLiMn2 crystal.

Calculated values
VASP energy = -5.122 eV per atom
formation energy from the elements = 422 meV/atom
energy above the lowest structure with this stoichiometry = 0 meV per atom

Unit cell a=7.616 b=4.393 c=6.606 alpha=90.00 beta=112.47 gamma=90.00
Element x y z (fractional)
Ba: 0.000 0.000 0.000
Ba: 0.500 0.500 0.000
Li: 0.191 0.000 0.578
Li: 0.691 0.500 0.578
Mn: 0.303 0.500 0.412
Mn: 0.474 0.000 0.425
Mn: 0.803 0.000 0.412
Mn: 0.974 0.500 0.425

No. 7
Density functional theory data (PBE) for a relaxed BaLiMn crystal.

Calculated values
VASP energy = -3.843 eV per atom
formation energy from the elements = 492 meV/atom
energy above the lowest structure with this stoichiometry = 0 meV per atom

Unit cell a=3.865 b=3.865 c=11.754 alpha=90.00 beta=90.00 gamma=90.00
Element x y z (fractional)
Ba: 0.000 0.000 0.000
Ba: 0.500 0.500 0.500
Li: 0.000 0.000 0.714
Li: 0.500 0.500 0.214
Mn: 0.000 0.000 0.301
Mn: 0.500 0.500 0.801

No. 8
Density functional theory data (PBE) for a relaxed BaLiMn2 crystal.

Calculated values
VASP energy = -4.805 eV per atom
formation energy from the elements = 739 meV/atom
energy above the lowest structure with this stoichiometry = 317 meV per atom

Unit cell a=3.452 b=5.135 c=10.267 alpha=90.00 beta=90.00 gamma=90.00
Element x y z (fractional)
Ba: 0.000 0.000 0.000
Ba: 0.500 0.500 0.500
Li: 0.000 0.000 0.500
Li: 0.500 0.500 0.000
Mn: 0.000 0.500 0.223
Mn: 0.000 0.500 0.777
Mn: 0.500 0.000 0.277
Mn: 0.500 0.000 0.723

> Which value of VASP energy does entry 7 give?

-3.843 eV per atom